The following is a GGA-PBE calculation of crystalline Y4CoC2S at its relaxed geometry, from OQMD via LeMat-Bulk.

Lattice parameters (Å, degrees): 3.6578 3.6578 13.2962 90.00 90.00 120.00
Closest atoms and distances in Å follow each position.
Fractional positions:
1 Y 0.0000 0.0000 0.1428  3 C 2.51
2 Y 0.0000 0.0000 0.8572  3 C 2.51
3 Y 0.3333 0.6667 0.3469  3 C 2.51
4 Y 0.3333 0.6667 0.6531  3 C 2.51
5 Co 0.0000 0.0000 0.5000  6 Y 2.93
6 C 0.6667 0.3333 0.2444  6 Y 2.51
7 C 0.6667 0.3333 0.7556  6 Y 2.51
8 S 0.3333 0.6667 0.0000  6 Y 2.84

As for the magnetization: 1.0 μB per cell. As for the energy: -7.536 eV per atom.

***

The following is a GGA-PBE calculation of crystalline TbTmAg4 at its relaxed geometry, from OQMD via LeMat-Bulk.

Lattice parameters (Å, degrees): 3.7074 3.7074 9.2043 90.00 90.00 90.00
Closest atoms and distances in Å follow each position.
Fractional positions:
1 Tb 0.0000 0.0000 0.0000  10 Ag 3.07-3.08
2 Tm 0.5000 0.5000 0.5000  10 Ag 3.01-3.03
3 Ag 0.0000 0.0000 0.3341  5 Ag 3.01-3.05, 4 Tm 3.03, 1 Tb 3.08
4 Ag 0.0000 0.0000 0.6659  5 Ag 3.01-3.05, 4 Tm 3.03, 1 Tb 3.08
5 Ag 0.5000 0.5000 0.1733  1 Tm 3.01, 5 Ag 3.01-3.19, 4 Tb 3.07
6 Ag 0.5000 0.5000 0.8267  1 Tm 3.01, 5 Ag 3.01-3.19, 4 Tb 3.07

As for the magnetization: 0.0 μB per cell. As for the energy: -3.733 eV per atom. The formation energy comes out at -0.333 eV per atom.

***

> energy of number 1 (Y4CoC2S)?

-7.536 eV per atom